Entry 1:
{"formula": "BaMg2Tl4Ag", "functional": "PBE", "state": "optimized geometry", "dft_energy_ev_per_atom": -2.298, "m_tot_mub_per_fu": 0.00, "delta_e_f_ev_per_atom": -0.1199, "cell": [[-1.010, -0.646, -4.960], [3.139, -2.788, -2.901], [-4.687, -9.497, -0.433]], "species": ["Tl", "Tl", "Tl", "Tl", "Mg", "Mg", "Ag", "Ba"], "frac_coords": [[0.870, 0.870, 0.389], [0.400, 0.400, 0.801], [0.130, 0.130, 0.611], [0.600, 0.600, 0.199], [0.764, 0.764, 0.709], [0.236, 0.236, 0.291], [0.500, 0.500, 0.500], [0.000, 0.000, 0.000]]}


Entry 2:
{"formula": "LiMoPt2", "functional": "PBE", "state": "optimized geometry", "dft_energy_ev_per_atom": -6.564, "m_tot_mub_per_fu": 0.28, "delta_e_f_ev_per_atom": -0.3576, "cell": [[-3.030, 1.688, 1.687], [-1.408, -2.368, -0.159], [0.534, -3.836, 4.799]], "species": ["Pt", "Pt", "Mo", "Li"], "frac_coords": [[0.000, 0.998, 0.002], [0.000, 0.502, 0.498], [0.500, 0.750, 0.750], [0.500, 0.250, 0.250]]}


Entry 3:
{"formula": "SrSnSbTe2", "functional": "PBE", "state": "optimized geometry", "dft_energy_ev_per_atom": -2.831, "formation_energy_uncorrected_ev_per_fu": 1.9, "m_tot_mub_per_fu": 0.00, "cell": [[-2.347, 3.942, 3.944], [-4.641, 0.991, -3.752], [-3.053, -4.425, 2.607]], "species": ["Te", "Te", "Sb", "Sr", "Sn"], "frac_coords": [[0.000, 0.500, 0.000], [0.500, 0.000, 0.000], [0.000, 0.000, 0.500], [0.000, 0.000, 0.000], [0.500, 0.500, 0.500]]}


Entry 4:
{"formula": "Ac3SiAg", "functional": "PBE", "state": "optimized geometry", "dft_energy_ev_per_atom": -4.411, "formation_energy_uncorrected_ev_per_fu": -1.5, "m_tot_mub_per_fu": 0.00, "cell": [[-3.184, 6.515, 4.229], [-3.530, 3.128, -7.476], [-6.314, -6.082, 4.617]], "species": ["Ac", "Ac", "Ac", "Ac", "Ac", "Ac", "Ac", "Ac", "Ac", "Ac", "Ac", "Ac", "Si", "Si", "Si", "Si", "Ag", "Ag", "Ag", "Ag"], "frac_coords": [[0.322, 0.506, 0.145], [0.820, 0.377, 0.204], [0.178, 0.006, 0.145], [0.991, 0.221, 0.560], [0.509, 0.721, 0.560], [0.680, 0.877, 0.204], [0.180, 0.623, 0.796], [0.491, 0.279, 0.440], [0.009, 0.779, 0.440], [0.678, 0.494, 0.855], [0.320, 0.123, 0.796], [0.822, 0.994, 0.855], [0.481, 0.857, 0.921], [0.981, 0.643, 0.079], [0.019, 0.357, 0.921], [0.519, 0.143, 0.079], [0.836, 0.551, 0.578], [0.164, 0.449, 0.422], [0.336, 0.949, 0.422], [0.664, 0.051, 0.578]]}